[1]
Here is an optimized crystal structure of CrAsSe2Cl from Alexandria. Energies are from PBE-GGA.

- Size of the total moment: 0.000 μB/atom
- N(E_F): 3.7 states/eV/f.u.
- Crystal system: tetragonal

```
data_CrAsSe2Cl
_symmetry_space_group_name_H-M 'P 4/m m m'
_symmetry_Int_Tables_number 123
_symmetry_space_group_name_Hall '-P 4 2'
_cell_length_a 4.618
_cell_length_b 4.618
_cell_length_c 4.913
_cell_angle_alpha 90.00
_cell_angle_beta 90.00
_cell_angle_gamma 90.00
loop_
_atom_site_label
_atom_site_type_symbol
_atom_site_fract_x
_atom_site_fract_y
_atom_site_fract_z
Cr1 Cr 0.000 0.000 0.000
As1 As 0.000 0.000 0.500
Se1 Se 0.000 0.500 0.000
Cl1 Cl 0.500 0.500 0.500
```


[2]
Here is an optimized crystal structure of CrAs2SeCl from Alexandria. Energies are from PBE-GGA.

- Size of the total moment: 0.644 μB/atom
- N(E_F): 4.2 states/eV/f.u.
- Crystal system: tetragonal

```
data_CrAs2SeCl
_symmetry_space_group_name_H-M 'P 4/m m m'
_symmetry_Int_Tables_number 123
_symmetry_space_group_name_Hall '-P 4 2'
_cell_length_a 4.817
_cell_length_b 4.817
_cell_length_c 5.119
_cell_angle_alpha 90.00
_cell_angle_beta 90.00
_cell_angle_gamma 90.00
loop_
_atom_site_label
_atom_site_type_symbol
_atom_site_fract_x
_atom_site_fract_y
_atom_site_fract_z
Cr1 Cr 0.000 0.000 0.000
As1 As 0.000 0.500 0.500
Se1 Se 0.500 0.500 0.000
Cl1 Cl 0.500 0.500 0.500
```


What are the energy relative to the elements, uncorrected values for these records? In order: 0.1886; 1.1090 eV per atom.